*one*
EuGdSc: relaxed, PBE.

```
data_EuGdSc
_chemical_formula_sum 'Eu2 Gd2 Sc2'
_space_group_name_H-M_alt 'I 4 m m'
_space_group_IT_number 107
_space_group_name_Hall 'I 4 -2'
_cell_length_a 3.6059
_cell_length_b 3.6059
_cell_length_c 14.7282
_cell_angle_alpha 90.00
_cell_angle_beta 90.00
_cell_angle_gamma 90.00
loop_
_atom_site_label
_atom_site_type_symbol
_atom_site_fract_x
_atom_site_fract_y
_atom_site_fract_z
Eu1 Eu 0.0000 0.0000 0.0000
Gd1 Gd 0.0000 0.0000 0.3151
Sc1 Sc 0.0000 0.0000 0.6691
```

=====

*two*
EuGdSc: relaxed, PBE.

```
data_EuGdSc
_chemical_formula_sum 'Eu1 Gd1 Sc1'
_space_group_name_H-M_alt 'P 3 m 1'
_space_group_IT_number 156
_space_group_name_Hall 'P 3 -2"'
_cell_length_a 5.6042
_cell_length_b 5.6042
_cell_length_c 3.4219
_cell_angle_alpha 90.00
_cell_angle_beta 90.00
_cell_angle_gamma 120.00
loop_
_atom_site_label
_atom_site_type_symbol
_atom_site_fract_x
_atom_site_fract_y
_atom_site_fract_z
Eu1 Eu 0.0000 0.0000 0.0000
Gd1 Gd 0.3333 0.6667 0.4982
Sc1 Sc 0.6667 0.3333 0.9958
```

=====

Last place for stability: *two*

=====

*one*
EuGd2Sn: relaxed, PBE.

```
data_EuGd2Sn
_chemical_formula_sum 'Eu1 Gd2 Sn1'
_space_group_name_H-M_alt 'P 4/m m m'
_space_group_IT_number 123
_space_group_name_Hall '-P 4 2'
_cell_length_a 4.9514
_cell_length_b 4.9514
_cell_length_c 4.8286
_cell_angle_alpha 90.00
_cell_angle_beta 90.00
_cell_angle_gamma 90.00
loop_
_atom_site_label
_atom_site_type_symbol
_atom_site_fract_x
_atom_site_fract_y
_atom_site_fract_z
Eu1 Eu 0.0000 0.0000 0.0000
Gd1 Gd 0.0000 0.5000 0.5000
Sn1 Sn 0.5000 0.5000 0.0000
```

=====

*two*
EuGd2Sn: relaxed, PBE.

```
data_EuGd2Sn
_chemical_formula_sum 'Eu4 Gd8 Sn4'
_space_group_name_H-M_alt 'F m -3 m'
_space_group_IT_number 225
_space_group_name_Hall '-F 4 2 3'
_cell_length_a 7.7694
_cell_length_b 7.7694
_cell_length_c 7.7694
_cell_angle_alpha 90.00
_cell_angle_beta 90.00
_cell_angle_gamma 90.00
loop_
_atom_site_label
_atom_site_type_symbol
_atom_site_fract_x
_atom_site_fract_y
_atom_site_fract_z
Eu1 Eu 0.0000 0.0000 0.0000
Gd1 Gd 0.2500 0.2500 0.2500
Sn1 Sn 0.0000 0.0000 0.5000
```

=====

Last place for stability: *two*

=====

*one*
Sr2EuGd: relaxed, PBE.

```
data_Sr2EuGd
_chemical_formula_sum 'Sr2 Eu1 Gd1'
_space_group_name_H-M_alt 'P 4/m m m'
_space_group_IT_number 123
_space_group_name_Hall '-P 4 2'
_cell_length_a 3.9745
_cell_length_b 3.9745
_cell_length_c 11.3810
_cell_angle_alpha 90.00
_cell_angle_beta 90.00
_cell_angle_gamma 90.00
loop_
_atom_site_label
_atom_site_type_symbol
_atom_site_fract_x
_atom_site_fract_y
_atom_site_fract_z
Sr1 Sr 0.0000 0.0000 0.2358
Eu1 Eu 0.5000 0.5000 0.5000
Gd1 Gd 0.5000 0.5000 0.0000
```

=====

*two*
Sr2EuGd: relaxed, PBE.

```
data_Sr2EuGd
_chemical_formula_sum 'Sr2 Eu1 Gd1'
_space_group_name_H-M_alt 'P 4/m m m'
_space_group_IT_number 123
_space_group_name_Hall '-P 4 2'
_cell_length_a 5.5561
_cell_length_b 5.5561
_cell_length_c 5.8368
_cell_angle_alpha 90.00
_cell_angle_beta 90.00
_cell_angle_gamma 90.00
loop_
_atom_site_label
_atom_site_type_symbol
_atom_site_fract_x
_atom_site_fract_y
_atom_site_fract_z
Sr1 Sr 0.0000 0.5000 0.0000
Eu1 Eu 0.0000 0.0000 0.5000
Gd1 Gd 0.5000 0.5000 0.5000
```

=====

*three*
Sr2EuGd: relaxed, PBE.

```
data_Sr2EuGd
_chemical_formula_sum 'Sr8 Eu4 Gd4'
_space_group_name_H-M_alt 'F m -3 m'
_space_group_IT_number 225
_space_group_name_Hall '-F 4 2 3'
_cell_length_a 8.9361
_cell_length_b 8.9361
_cell_length_c 8.9361
_cell_angle_alpha 90.00
_cell_angle_beta 90.00
_cell_angle_gamma 90.00
loop_
_atom_site_label
_atom_site_type_symbol
_atom_site_fract_x
_atom_site_fract_y
_atom_site_fract_z
Sr1 Sr 0.2500 0.2500 0.2500
Eu1 Eu 0.0000 0.0000 0.0000
Gd1 Gd 0.0000 0.0000 0.5000
```

=====

Last place for stability: *two*

=====

*one*
SrEuGd: relaxed, PBE.

```
data_SrEuGd
_chemical_formula_sum 'Sr2 Eu2 Gd2'
_space_group_name_H-M_alt 'I 4 m m'
_space_group_IT_number 107
_space_group_name_Hall 'I 4 -2'
_cell_length_a 3.5357
_cell_length_b 3.5357
_cell_length_c 20.4201
_cell_angle_alpha 90.00
_cell_angle_beta 90.00
_cell_angle_gamma 90.00
loop_
_atom_site_label
_atom_site_type_symbol
_atom_site_fract_x
_atom_site_fract_y
_atom_site_fract_z
Sr1 Sr 0.0000 0.0000 0.0000
Eu1 Eu 0.0000 0.0000 0.3416
Gd1 Gd 0.0000 0.0000 0.1762
```

=====

*two*
SrEuGd: relaxed, PBE.

```
data_SrEuGd
_chemical_formula_sum 'Sr1 Eu1 Gd1'
_space_group_name_H-M_alt 'P 3 m 1'
_space_group_IT_number 156
_space_group_name_Hall 'P 3 -2"'
_cell_length_a 3.8803
_cell_length_b 3.8803
_cell_length_c 9.5405
_cell_angle_alpha 90.00
_cell_angle_beta 90.00
_cell_angle_gamma 120.00
loop_
_atom_site_label
_atom_site_type_symbol
_atom_site_fract_x
_atom_site_fract_y
_atom_site_fract_z
Sr1 Sr 0.0000 0.0000 0.0000
Eu1 Eu 0.3333 0.6667 0.6410
Gd1 Gd 0.6667 0.3333 0.3269
```

=====

Last place for stability: *one*